[1]
# AcLuGaRh, optimized geometry, DFT PBE-GGA
# **Size of the total moment**: 0.0 μB per formula unit
# **Calculated formation energy**: -47.15 kJ/mol of atoms
# **Crystal system**: cubic
# **VASP energy**: -0.3852 Ry per atom
data_AcLuGaRh
_symmetry_space_group_name_H-M 'F -4 3 m'
_symmetry_Int_Tables_number 216
_symmetry_space_group_name_Hall 'F -4 2 3'
_cell_length_a 7.291
_cell_length_b 7.291
_cell_length_c 7.291
_cell_angle_alpha 90.00
_cell_angle_beta 90.00
_cell_angle_gamma 90.00
loop_
_atom_site_label
_atom_site_type_symbol
_atom_site_fract_x
_atom_site_fract_y
_atom_site_fract_z
_atom_site_occupancy
Ac1 Ac 0.000 0.000 0.000 1
Lu1 Lu 0.000 0.000 0.500 1
Ga1 Ga 0.250 0.250 0.250 1
Rh1 Rh 0.250 0.250 0.750 1


[2]
# ErScInRu, optimized geometry, DFT PBE-GGA
# **Size of the total moment**: 0.0 μB per formula unit
# **Calculated formation energy**: -36.71 kJ/mol of atoms
# **Crystal system**: cubic
# **VASP energy**: -0.4489 Ry per atom
data_ErScInRu
_symmetry_space_group_name_H-M 'F -4 3 m'
_symmetry_Int_Tables_number 216
_symmetry_space_group_name_Hall 'F -4 2 3'
_cell_length_a 6.931
_cell_length_b 6.931
_cell_length_c 6.931
_cell_angle_alpha 90.00
_cell_angle_beta 90.00
_cell_angle_gamma 90.00
loop_
_atom_site_label
_atom_site_type_symbol
_atom_site_fract_x
_atom_site_fract_y
_atom_site_fract_z
_atom_site_occupancy
Er1 Er 0.000 0.000 0.000 1
Sc1 Sc 0.000 0.000 0.500 1
In1 In 0.250 0.250 0.750 1
Ru1 Ru 0.250 0.250 0.250 1


[3]
# Ni9SnGe2, optimized geometry, DFT PBE-GGA
# **Size of the total moment**: 0.0 μB per formula unit
# **Calculated formation energy**: -23.91 kJ/mol of atoms
# **Crystal system**: tetragonal
# **VASP energy**: -0.4180 Ry per atom
data_Ni9SnGe2
_symmetry_space_group_name_H-M 'P 4/m m m'
_symmetry_Int_Tables_number 123
_symmetry_space_group_name_Hall '-P 4 2'
_cell_length_a 3.637
_cell_length_b 3.637
_cell_length_c 10.854
_cell_angle_alpha 90.00
_cell_angle_beta 90.00
_cell_angle_gamma 90.00
loop_
_atom_site_label
_atom_site_type_symbol
_atom_site_fract_x
_atom_site_fract_y
_atom_site_fract_z
_atom_site_occupancy
Ni1 Ni 0.000 0.000 0.000 1
Ni2 Ni 0.000 0.000 0.339 1
Ni3 Ni 0.000 0.500 0.178 1
Ni4 Ni 0.000 0.500 0.500 1
Sn1 Sn 0.500 0.500 0.000 1
Ge1 Ge 0.500 0.500 0.338 1